The following is a DFT calculation (GGA+U) of an optimized crystal structure of CrHgMoF6.

Properties
Total moment (μB/f.u.): 6.0
Raw total energy (eV/atom): -5.15

Cell: 5.5545 5.5545 13.7226 Å, 90.00 90.00 120.00°
With the nearest neighbours (Å) after each atom.
Fractional positions:
Cr1 0.3333 0.6667 0.2500  6 F 1.97
Cr2 0.6667 0.3333 0.7500  6 F 1.97
Hg1 0.0000 0.0000 0.0000  6 F 3.15
Hg2 0.0000 0.0000 0.5000  6 F 3.15
Mo1 0.6667 0.3333 0.2500  6 F 2.12
Mo2 0.3333 0.6667 0.7500  6 F 2.12
F1 0.6220 0.6423 0.1749  1 Cr 1.97, 1 Mo 2.12
F2 0.0203 0.3780 0.1749  1 Cr 1.97, 1 Mo 2.12
F3 0.3780 0.0203 0.6749  1 Cr 1.97, 1 Mo 2.12
F4 0.9797 0.6220 0.8251  1 Cr 1.97, 1 Mo 2.12
F5 0.3577 0.3780 0.3251  1 Cr 1.97, 1 Mo 2.12
F6 0.0203 0.6423 0.3251  1 Cr 1.97, 1 Mo 2.12
F7 0.6423 0.0203 0.8251  1 Cr 1.97, 1 Mo 2.12
F8 0.6220 0.9797 0.3251  1 Cr 1.97, 1 Mo 2.12
F9 0.9797 0.3577 0.6749  1 Cr 1.97, 1 Mo 2.12
F10 0.3577 0.9797 0.1749  1 Cr 1.97, 1 Mo 2.12
F11 0.6423 0.6220 0.6749  1 Cr 1.97, 1 Mo 2.12
F12 0.3780 0.3577 0.8251  1 Cr 1.97, 1 Mo 2.12